1.
First-principles (GGA-PBE) data for Lu2InP after structural relaxation, as listed in Alexandria via LeMat-Bulk.

Geometry as POSCAR:
```
Lu2InP
1.0
1.901 1.097 7.856
-1.901 1.097 7.856
0.000 -2.195 7.856
Lu In P
2 1 1
direct
0.234 0.234 0.234
0.766 0.766 0.766
0.000 0.000 0.000
0.500 0.500 0.500
```

The formation energy comes out at -950 meV/atom.

=====

2.
First-principles (GGA-PBE) data for Cs2KCdAu after structural relaxation, as listed in Alexandria via LeMat-Bulk.

Geometry as POSCAR:
```
Cs2KCdAu
1.0
-2.549 3.150 10.047
2.549 -3.150 10.047
2.549 3.150 -10.047
Cs K Cd Au
2 1 1 1
direct
0.000 0.000 0.000
0.318 0.318 0.000
0.689 0.689 0.000
0.514 0.514 0.000
0.580 0.080 0.500
```

The formation energy comes out at -104 meV/atom. As for the relative energy among the computed polymorphs: 1 meV per atom.

=====

3.
First-principles (GGA-PBE) data for TbTlBi after structural relaxation, as listed in Alexandria via LeMat-Bulk.

Geometry as POSCAR:
```
TbTlBi
1.0
5.442 0.000 0.000
-2.721 4.713 0.000
0.000 0.000 3.497
Tb Tl Bi
1 1 1
direct
0.000 0.000 0.000
0.333 0.667 0.387
0.667 0.333 0.578
```

The formation energy comes out at -235 meV/atom. As for the relative energy among the computed polymorphs: 61 meV per atom.

=====

4.
First-principles (GGA-PBE) data for BaCa5Zn6 after structural relaxation, as listed in Alexandria via LeMat-Bulk.

Geometry as POSCAR:
```
BaCa5Zn6
1.0
2.683 -8.013 0.000
2.683 8.013 0.000
0.000 0.000 7.391
Ba Ca Zn
1 5 6
direct
0.000 0.000 0.000
0.000 0.000 0.500
0.331 0.669 0.000
0.336 0.664 0.500
0.664 0.336 0.500
0.669 0.331 0.000
0.173 0.827 0.262
0.173 0.827 0.738
0.500 0.500 0.271
0.500 0.500 0.729
0.827 0.173 0.262
0.827 0.173 0.738
```

The formation energy comes out at -203 meV/atom.

=====

5.
First-principles (GGA-PBE) data for LiLa2MnPt after structural relaxation, as listed in Alexandria via LeMat-Bulk.

Geometry as POSCAR:
```
LiLa2MnPt
1.0
5.373 0.000 0.000
0.000 5.373 0.000
0.000 0.000 4.124
Li La Mn Pt
1 2 1 1
direct
0.000 0.000 0.000
0.000 0.500 0.000
0.500 0.000 0.000
0.500 0.500 0.500
0.000 0.000 0.500
```

The formation energy comes out at 585 meV/atom.

=====

6.
First-principles (GGA-PBE) data for BaLi2BS4 after structural relaxation, as listed in Alexandria via LeMat-Bulk.

Geometry as POSCAR:
```
BaLi2BS4
1.0
-3.228 3.228 3.938
3.228 -3.228 3.938
3.228 3.228 -3.938
Ba Li B S
1 2 1 4
direct
0.000 0.000 0.000
0.250 0.750 0.500
0.750 0.250 0.500
0.500 0.500 0.000
0.187 0.187 0.650
0.463 0.813 0.000
0.537 0.537 0.350
0.813 0.463 0.000
```

For the formation energy from raw total energies, the calculation gives -1065 meV/atom.

=====

7.
First-principles (GGA-PBE) data for Hf3Zn3CuPd2 after structural relaxation, as listed in Alexandria via LeMat-Bulk.

Geometry as POSCAR:
```
Hf3Zn3CuPd2
1.0
7.148 0.000 0.000
-3.574 6.190 0.000
0.000 0.000 3.441
Hf Zn Cu Pd
3 3 1 2
direct
0.000 0.599 0.000
0.401 0.401 0.000
0.599 0.000 0.000
0.000 0.257 0.500
0.257 0.000 0.500
0.743 0.743 0.500
0.000 0.000 0.000
0.333 0.667 0.500
0.667 0.333 0.500
```

The formation energy comes out at -449 meV/atom.

=====

8.
First-principles (GGA-PBE) data for Li2MgTc after structural relaxation, as listed in Alexandria via LeMat-Bulk.

Geometry as POSCAR:
```
Li2MgTc
1.0
1.390 0.802 9.888
-1.390 0.802 9.888
0.000 -1.604 9.888
Li Mg Tc
2 1 1
direct
0.244 0.244 0.244
0.756 0.756 0.756
0.000 0.000 0.000
0.500 0.500 0.500
```

The formation energy comes out at 248 meV/atom.